No. 1
PBEsol ZnCdNF2, optimized geometry; raw formation energy = -112 meV per atom; electronic total energy = -3.14 eV/atom; SG = No. 123
1.0
4.2198 0.0000 0.0000
0.0000 4.2198 0.0000
0.0000 0.0000 4.3523
Zn Cd N F
1 1 1 2
direct
0.0000 0.0000 0.0000 Zn
0.5000 0.5000 0.5000 Cd
0.5000 0.5000 0.0000 N
0.0000 0.5000 0.5000 F
0.5000 0.0000 0.5000 F

=====

No. 2
PBEsol ZrCdNF2, optimized geometry; raw formation energy = -522 meV per atom; electronic total energy = -5.06 eV/atom; SG = No. 123
1.0
4.0894 0.0000 0.0000
0.0000 4.0894 0.0000
0.0000 0.0000 4.4422
Zr Cd N F
1 1 1 2
direct
0.0000 0.0000 0.0000 Zr
0.5000 0.5000 0.5000 Cd
0.5000 0.5000 0.0000 N
0.0000 0.5000 0.5000 F
0.5000 0.0000 0.5000 F

=====

No. 3
PBEsol ZrCdN2F, optimized geometry; raw formation energy = 325 meV per atom; electronic total energy = -5.53 eV/atom; SG = No. 123
1.0
4.1138 0.0000 0.0000
0.0000 4.1138 0.0000
0.0000 0.0000 3.9760
Zr Cd N F
1 1 2 1
direct
0.0000 0.0000 0.0000 Zr
0.5000 0.5000 0.5000 Cd
0.0000 0.5000 0.5000 N
0.5000 0.0000 0.5000 N
0.5000 0.5000 0.0000 F